(1)
CsTlC2O6: optimized geometry, PBE-GGA.

Lattice parameters (Å, degrees): 6.777 6.777 7.748 108.85 108.85 92.52
Atoms (fractional coordinates):
Cs 0.107 0.893 0.750
Cs 0.893 0.107 0.250
Tl 0.360 0.640 0.250
Tl 0.640 0.360 0.750
C 0.179 0.394 0.783
C 0.394 0.179 0.283
C 0.606 0.821 0.717
C 0.821 0.606 0.217
O 0.018 0.681 0.275
O 0.275 0.569 0.927
O 0.284 0.284 0.179
O 0.284 0.284 0.679
O 0.319 0.982 0.225
O 0.431 0.725 0.573
O 0.569 0.275 0.427
O 0.681 0.018 0.775
O 0.716 0.716 0.321
O 0.716 0.716 0.821
O 0.725 0.431 0.073
O 0.982 0.319 0.725

Output
calculated volume	15.72	Å³ per atom
SG	C2/c, No. 15
magnetization	0.0	μB/cell
E_form (uncorrected)	-13.114	eV per formula unit



(2)
BaSc5: optimized geometry, PBE-GGA.

Lattice parameters (Å, degrees): 5.982 5.982 5.412 90.00 90.00 120.00
Atoms (fractional coordinates):
Ba 0.000 0.000 0.000
Sc 0.000 0.638 0.500
Sc 0.333 0.667 0.000
Sc 0.362 0.362 0.500
Sc 0.638 0.000 0.500
Sc 0.667 0.333 0.000

Output
calculated volume	27.96	Å³ per atom
energy of formation	0.25	eV/atom
energy above the lowest structure with this stoichiometry	0.0487	eV per atom
SG	P-62m, No. 189
magnetization	1.0	μB/cell



(3)
RbInHg2Pt: optimized geometry, PBE-GGA.

Lattice parameters (Å, degrees): 5.438 5.438 5.194 90.00 90.00 90.00
Atoms (fractional coordinates):
Rb 0.000 0.000 0.000
In 0.500 0.500 0.000
Hg 0.000 0.500 0.500
Hg 0.500 0.000 0.500
Pt 0.500 0.500 0.500

Output
calculated volume	30.72	Å³ per atom
energy of formation	-0.27	eV/atom
SG	P4/mmm, No. 123
magnetization	0.0	μB/cell



(4)
Zr3ReSb: optimized geometry, PBE-GGA.

Lattice parameters (Å, degrees): 5.069 5.069 5.069 90.00 90.00 90.00
Atoms (fractional coordinates):
Zr 0.000 0.000 0.500
Zr 0.000 0.500 0.000
Zr 0.500 0.000 0.000
Re 0.000 0.000 0.000
Sb 0.500 0.500 0.500

Output
calculated volume	26.05	Å³ per atom
energy above the lowest structure with this stoichiometry	0.0000	eV per atom
SG	Pm-3m, No. 221
magnetization	0.0	μB/cell
E_form (uncorrected)	1.664	eV per formula unit



(5)
DyGe2Rh: optimized geometry, PBE-GGA.

Lattice parameters (Å, degrees): 9.434 9.434 9.434 153.90 123.56 63.20
Atoms (fractional coordinates):
Dy 0.205 0.205 0.000
Dy 0.236 0.000 0.236
Dy 0.764 0.000 0.764
Dy 0.795 0.795 0.000
Ge 0.077 0.577 0.500
Ge 0.148 0.800 0.347
Ge 0.421 0.421 0.000
Ge 0.453 0.800 0.653
Ge 0.547 0.200 0.347
Ge 0.579 0.579 0.000
Ge 0.852 0.200 0.653
Ge 0.923 0.423 0.500
Rh 0.105 0.354 0.751
Rh 0.397 0.646 0.751
Rh 0.603 0.354 0.249
Rh 0.895 0.646 0.249

Output
calculated volume	19.09	Å³ per atom
energy of formation	-0.84	eV/atom
SG	Immm, No. 71
magnetization	0.0	μB/cell



(6)
ScInW2: optimized geometry, PBE-GGA.

Lattice parameters (Å, degrees): 3.969 3.969 4.614 90.00 90.00 90.00
Atoms (fractional coordinates):
Sc 0.000 0.000 0.000
In 0.500 0.500 0.000
W 0.000 0.500 0.500
W 0.500 0.000 0.500

Output
calculated volume	18.17	Å³ per atom
energy of formation	0.28	eV/atom
SG	P4/mmm, No. 123
magnetization	0.0	μB/cell



(7)
GaNiMo: optimized geometry, PBE-GGA.

Lattice parameters (Å, degrees): 4.820 4.820 4.820 120.25 118.41 91.17
Atoms (fractional coordinates):
Ga 0.000 0.000 0.000
Ga 0.500 0.000 0.500
Ni 0.500 0.000 0.000
Ni 0.500 0.500 0.500
Mo 0.122 0.372 0.750
Mo 0.878 0.628 0.250

Output
calculated volume	13.32	Å³ per atom
energy of formation	-0.23	eV/atom
SG	Imma, No. 74
magnetization	0.0	μB/cell



(8)
HgMoPd3: optimized geometry, PBE-GGA.

Lattice parameters (Å, degrees): 4.833 4.833 4.833 90.00 90.00 90.00
Atoms (fractional coordinates):
Hg 0.000 0.000 0.000
Mo 0.500 0.500 0.500
Pd 0.000 0.500 0.500
Pd 0.500 0.000 0.500
Pd 0.500 0.500 0.000

Output
calculated volume	22.58	Å³ per atom
energy of formation	1.02	eV/atom
energy above the lowest structure with this stoichiometry	0.0000	eV per atom
SG	Pm-3m, No. 221
magnetization	0.0	μB/cell



(9)
Zr2SeCl: optimized geometry, PBE-GGA.

Lattice parameters (Å, degrees): 4.728 4.728 4.728 60.00 60.00 60.00
Atoms (fractional coordinates):
Zr 0.250 0.250 0.250
Zr 0.750 0.750 0.750
Se 0.000 0.000 0.000
Cl 0.500 0.500 0.500

Output
calculated volume	18.69	Å³ per atom
energy above the lowest structure with this stoichiometry	0.2268	eV per atom
SG	Fm-3m, No. 225
magnetization	0.0	μB/cell
E_form (uncorrected)	-3.006	eV per formula unit



(10)
Nd3SnGe: optimized geometry, PBE-GGA.

Lattice parameters (Å, degrees): 8.458 8.458 8.668 90.08 90.08 85.54
Atoms (fractional coordinates):
Nd 0.004 0.809 0.584
Nd 0.072 0.428 0.823
Nd 0.191 0.996 0.916
Nd 0.304 0.496 0.416
Nd 0.428 0.072 0.323
Nd 0.496 0.304 0.916
Nd 0.504 0.696 0.084
Nd 0.572 0.928 0.677
Nd 0.696 0.504 0.584
Nd 0.809 0.004 0.084
Nd 0.928 0.572 0.177
Nd 0.996 0.191 0.416
Sn 0.159 0.841 0.250
Sn 0.347 0.653 0.750
Sn 0.653 0.347 0.250
Sn 0.841 0.159 0.750
Ge 0.194 0.297 0.134
Ge 0.297 0.194 0.634
Ge 0.703 0.806 0.366
Ge 0.806 0.703 0.866

Output
calculated volume	30.91	Å³ per atom
energy of formation	-0.60	eV/atom
SG	C2/c, No. 15
magnetization	0.0	μB/cell



(11)
Tl2BiPd4: optimized geometry, PBE-GGA.

Lattice parameters (Å, degrees): 9.248 4.495 13.650 90.00 90.00 90.00
Atoms (fractional coordinates):
Tl 0.086 0.250 0.083
Tl 0.132 0.250 0.632
Tl 0.368 0.750 0.132
Tl 0.414 0.750 0.583
Tl 0.586 0.250 0.417
Tl 0.632 0.250 0.868
Tl 0.868 0.750 0.368
Tl 0.914 0.750 0.917
Bi 0.170 0.250 0.376
Bi 0.330 0.750 0.876
Bi 0.670 0.250 0.124
Bi 0.830 0.750 0.624
Pd 0.083 0.750 0.746
Pd 0.112 0.750 0.511
Pd 0.117 0.750 0.236
Pd 0.135 0.250 0.879
Pd 0.365 0.750 0.379
Pd 0.383 0.250 0.736
Pd 0.388 0.250 0.011
Pd 0.417 0.250 0.246
Pd 0.583 0.750 0.754
Pd 0.612 0.750 0.989
Pd 0.617 0.750 0.264
Pd 0.635 0.250 0.621
Pd 0.865 0.750 0.121
Pd 0.883 0.250 0.764
Pd 0.888 0.250 0.489
Pd 0.917 0.250 0.254

Output
calculated volume	20.27	Å³ per atom
energy of formation	-0.19	eV/atom
energy above the lowest structure with this stoichiometry	0.0000	eV per atom
SG	Pnma, No. 62
magnetization	0.0	μB/cell



(12)
KNdDy2Se4: optimized geometry, PBE-GGA.

Lattice parameters (Å, degrees): 7.322 4.139 7.397 90.00 108.38 90.00
Atoms (fractional coordinates):
K 0.000 0.000 0.000
Nd 0.500 0.500 0.000
Dy 0.000 0.500 0.500
Dy 0.500 0.000 0.500
Se 0.248 0.000 0.733
Se 0.265 0.500 0.274
Se 0.735 0.500 0.726
Se 0.752 0.000 0.267

Output
calculated volume	26.59	Å³ per atom
SG	P2/m, No. 10
magnetization	0.0	μB/cell
E_form (uncorrected)	-13.898	eV per formula unit



(13)
Fe5Ni2Ir: optimized geometry, PBE-GGA.

Lattice parameters (Å, degrees): 5.128 5.128 5.128 120.02 120.02 89.97
Atoms (fractional coordinates):
Fe 0.000 0.000 0.000
Fe 0.000 0.000 0.500
Fe 0.000 0.500 0.000
Fe 0.500 0.000 0.000
Fe 0.500 0.500 0.500
Ni 0.000 0.500 0.500
Ni 0.500 0.000 0.500
Ir 0.500 0.500 0.000

Output
calculated volume	11.92	Å³ per atom
energy of formation	0.00	eV/atom
SG	I4/mmm, No. 139
magnetization	13.9	μB/cell



(14)
Sm2Bi2O: optimized geometry, PBE-GGA.

Lattice parameters (Å, degrees): 7.162 7.162 11.601 121.97 121.97 34.26
Atoms (fractional coordinates):
Sm 0.030 0.030 0.193
Sm 0.197 0.197 0.581
Sm 0.803 0.803 0.419
Sm 0.970 0.970 0.807
Bi 0.364 0.364 0.935
Bi 0.450 0.450 0.341
Bi 0.550 0.550 0.659
Bi 0.636 0.636 0.065
O 0.211 0.211 0.393
O 0.789 0.789 0.607

Output
calculated volume	27.89	Å³ per atom
SG	C2/m, No. 12
magnetization	0.0	μB/cell
E_form (uncorrected)	-8.039	eV per formula unit



(15)
KYSb2: optimized geometry, PBE-GGA.

Lattice parameters (Å, degrees): 5.540 5.540 5.540 60.00 60.00 60.00
Atoms (fractional coordinates):
K 0.000 0.000 0.000
Y 0.500 0.500 0.500
Sb 0.250 0.250 0.250
Sb 0.750 0.750 0.750

Output
calculated volume	30.06	Å³ per atom
energy above the lowest structure with this stoichiometry	0.2318	eV per atom
SG	Fm-3m, No. 225
magnetization	0.0	μB/cell
E_form (uncorrected)	-1.700	eV per formula unit



(16)
CaLaHoMg: optimized geometry, PBE-GGA.

Lattice parameters (Å, degrees): 5.683 5.683 5.683 60.00 60.00 60.00
Atoms (fractional coordinates):
Ca 0.000 0.000 0.000
La 0.750 0.750 0.750
Ho 0.250 0.250 0.250
Mg 0.500 0.500 0.500

Output
calculated volume	32.44	Å³ per atom
energy of formation	0.06	eV/atom
SG	F-43m, No. 216
magnetization	0.0	μB/cell



(17)
LaMgCl2: optimized geometry, PBE-GGA.

Lattice parameters (Å, degrees): 7.926 7.926 4.775 90.68 90.68 25.50
Atoms (fractional coordinates):
La 0.000 0.000 0.000
Mg 0.300 0.300 0.998
Cl 0.500 0.500 0.500
Cl 0.666 0.666 0.008

Output
calculated volume	32.28	Å³ per atom
energy above the lowest structure with this stoichiometry	0.0397	eV per atom
SG	Cm, No. 8
magnetization	0.0	μB/cell
E_form (uncorrected)	-5.186	eV per formula unit



(18)
Pm4InGa3: optimized geometry, PBE-GGA.

Lattice parameters (Å, degrees): 4.230 4.525 11.359 90.00 90.00 90.00
Atoms (fractional coordinates):
Pm 0.000 0.000 0.000
Pm 0.000 0.500 0.485
Pm 0.500 0.000 0.707
Pm 0.500 0.500 0.216
In 0.000 0.500 0.779
Ga 0.000 0.000 0.281
Ga 0.500 0.000 0.424
Ga 0.500 0.500 0.939

Output
calculated volume	27.18	Å³ per atom
energy of formation	-0.55	eV/atom
energy above the lowest structure with this stoichiometry	0.0000	eV per atom
SG	Pmm2, No. 25
magnetization	0.0	μB/cell



(19)
HoErMnZn: optimized geometry, PBE-GGA.

Lattice parameters (Å, degrees): 4.972 4.972 4.972 60.00 60.00 60.00
Atoms (fractional coordinates):
Ho 0.000 0.000 0.000
Er 0.500 0.500 0.500
Mn 0.750 0.750 0.750
Zn 0.250 0.250 0.250

Output
calculated volume	21.72	Å³ per atom
energy of formation	-0.05	eV/atom
SG	F-43m, No. 216
magnetization	2.8	μB/cell



(20)
CrCoTe2: optimized geometry, PBE-GGA.

Lattice parameters (Å, degrees): 4.893 4.893 4.893 60.00 60.00 60.00
Atoms (fractional coordinates):
Cr 0.000 0.000 0.000
Co 0.750 0.750 0.750
Te 0.250 0.250 0.250
Te 0.500 0.500 0.500

Output
calculated volume	20.70	Å³ per atom
energy above the lowest structure with this stoichiometry	0.9540	eV per atom
SG	F-43m, No. 216
magnetization	5.3	μB/cell
E_form (uncorrected)	3.393	eV per formula unit



(21)
TlCdSi: optimized geometry, PBE-GGA.

Lattice parameters (Å, degrees): 6.964 6.964 6.964 152.74 152.74 38.93
Atoms (fractional coordinates):
Tl 0.000 0.000 0.000
Cd 0.307 0.307 0.000
Si 0.672 0.672 0.000

Output
calculated volume	23.58	Å³ per atom
energy above the lowest structure with this stoichiometry	0.0303	eV per atom
SG	I4mm, No. 107
magnetization	0.0	μB/cell
E_form (uncorrected)	1.171	eV per formula unit



(22)
In2HgHIr: optimized geometry, PBE-GGA.

Lattice parameters (Å, degrees): 5.316 5.316 3.592 90.00 90.00 90.00
Atoms (fractional coordinates):
In 0.000 0.500 0.000
In 0.500 0.000 0.000
Hg 0.000 0.000 0.500
H 0.500 0.500 0.500
Ir 0.500 0.500 0.000

Output
calculated volume	20.30	Å³ per atom
calculated total energy	-0.25904	Ry/atom
SG	P4/mmm, No. 123
magnetization	0.0	μB/cell



(23)
CsBeRu3: optimized geometry, PBE-GGA.

Lattice parameters (Å, degrees): 4.878 4.878 4.878 90.00 90.00 90.00
Atoms (fractional coordinates):
Cs 0.000 0.000 0.000
Be 0.500 0.500 0.500
Ru 0.000 0.000 0.500
Ru 0.000 0.500 0.000
Ru 0.500 0.000 0.000

Output
calculated volume	23.22	Å³ per atom
energy of formation	3.16	eV/atom
energy above the lowest structure with this stoichiometry	1.7597	eV per atom
SG	Pm-3m, No. 221
magnetization	2.9	μB/cell



(24)
Zn2PbW: optimized geometry, PBE-GGA.

Lattice parameters (Å, degrees): 5.651 5.651 4.917 99.37 99.37 29.39
Atoms (fractional coordinates):
Zn 0.000 0.000 0.000
Zn 0.215 0.215 0.825
Pb 0.791 0.791 0.343
W 0.535 0.535 0.514

Output
calculated volume	18.99	Å³ per atom
energy of formation	0.57	eV/atom
SG	Cm, No. 8
magnetization	0.0	μB/cell



(25)
TaSiTe2: optimized geometry, PBE-GGA.

Lattice parameters (Å, degrees): 3.094 3.094 10.196 90.00 90.00 103.58
Atoms (fractional coordinates):
Ta 0.000 0.000 0.000
Si 0.500 0.500 0.176
Te 0.000 0.000 0.454
Te 0.500 0.500 0.792

Output
calculated volume	23.71	Å³ per atom
SG	Cmm2, No. 35
magnetization	0.0	μB/cell
E_form (uncorrected)	1.100	eV per formula unit